Entry 1:
Na2LiCo | PBEsol | optimized geometry

Cell lengths 4.9149, 4.9149, 4.9149 Å; angles 60.00, 60.00, 60.00 degrees
Last column: magnetic moment on the atom in μB.
Element x y z (fractional)
Li 0.0000 0.0000 0.0000  -0.01
Na 0.7500 0.7500 0.7500  -0.01
Na 0.2500 0.2500 0.2500  -0.01
Co 0.5000 0.5000 0.5000  1.70

## Properties
calculated formation energy	0.735	eV/atom
raw total energy	-2.39	eV per atom

***

Entry 2:
NaLi2NbCo | PBEsol | optimized geometry

Cell lengths 4.3902, 4.3902, 4.8330 Å; angles 90.00, 90.00, 90.00 degrees
Last column: magnetic moment on the atom in μB.
Element x y z (fractional)
Co 0.0000 0.0000 0.0000  -1.09
Nb 0.5000 0.5000 0.5000  2.14
Li 0.0000 0.5000 0.0000  0.01
Li 0.5000 0.0000 0.0000  0.01
Na 0.0000 0.0000 0.5000  0.01

## Properties
calculated formation energy	1.454	eV/atom
raw total energy	-3.32	eV per atom

***

Entry 3:
Na2Li2CoO4 | PBEsol | optimized geometry

Cell lengths 6.4469, 7.9330, 8.2778 Å; angles 90.00, 90.00, 89.83 degrees
Last column: magnetic moment on the atom in μB.
Element x y z (fractional)
O 0.2428 0.2117 0.9638  0.35
O 0.4874 0.4316 0.2107  0.41
O 0.9717 0.4304 0.7821  0.42
O 0.7572 0.7883 0.0362  0.35
O 0.9874 0.9316 0.2893  0.41
O 0.0283 0.5696 0.2179  0.42
O 0.7428 0.7117 0.5362  0.35
O 0.5126 0.5684 0.7893  0.41
O 0.2856 0.7003 0.4847  0.38
O 0.7144 0.2997 0.5153  0.38
O 0.5283 0.0696 0.2821  0.42
O 0.7856 0.2003 0.0153  0.38
O 0.0126 0.0684 0.7107  0.41
O 0.2572 0.2883 0.4638  0.35
O 0.2144 0.7997 0.9847  0.38
O 0.4717 0.9304 0.7179  0.42
Li 0.0062 0.2895 0.5802  0.01
Li 0.2528 0.5044 0.3548  0.01
Li 0.4938 0.2105 0.0802  0.01
Li 0.7472 0.4956 0.6452  0.01
Li 0.2472 0.9956 0.8548  0.01
Li 0.7528 0.0044 0.1452  0.01
Li 0.9938 0.7105 0.4198  0.01
Li 0.5062 0.7895 0.9198  0.01
Co 0.5131 0.2769 0.3695  2.96
Co 0.9869 0.2231 0.8695  2.96
Co 0.4869 0.7231 0.6305  2.96
Co 0.0131 0.7769 0.1305  2.96
Na 0.2490 0.9926 0.4774  0.01
Na 0.9375 0.7770 0.7811  0.00
Na 0.7510 0.0074 0.5226  0.01
Na 0.7490 0.4926 0.0226  0.01
Na 0.0625 0.2230 0.2189  0.00
Na 0.2510 0.5074 0.9774  0.01
Na 0.4375 0.2770 0.7189  0.00
Na 0.5625 0.7230 0.2811  0.00

## Properties
energy relative to the elements, uncorrected	-12.7	eV/f.u.
raw total energy	-5.35	eV per atom

***

Entry 4:
Na2LiCoO | PBEsol | optimized geometry

Cell lengths 3.2962, 5.1404, 5.1404 Å; angles 90.00, 90.00, 90.00 degrees
Last column: magnetic moment on the atom in μB.
Element x y z (fractional)
O 0.5000 0.0000 0.0000  0.03
Na 0.0000 0.0000 0.5000  -0.01
Na 0.0000 0.5000 0.0000  -0.01
Li 0.0000 0.0000 0.0000  0.00
Co 0.5000 0.5000 0.5000  1.93

## Properties
energy relative to the elements, uncorrected	0.4	eV/f.u.
raw total energy	-3.47	eV per atom

***

Entry 5:
Na2Li3CoO4 | PBEsol | optimized geometry

Cell lengths 6.4872, 7.9092, 8.1523 Å; angles 90.00, 90.00, 90.00 degrees
Last column: magnetic moment on the atom in μB.
Element x y z (fractional)
O 0.2534 0.6959 0.4883  0.24
O 0.7534 0.8041 0.9883  0.24
O 0.2466 0.8041 0.9883  0.24
O 0.7466 0.6959 0.4883  0.24
O 0.5000 0.5472 0.2239  0.24
O 0.7534 0.1959 0.0117  0.24
O 0.0000 0.4395 0.2214  0.22
O 0.2466 0.1959 0.0117  0.24
O 0.0000 0.0472 0.2761  0.24
O 0.0000 0.9528 0.7239  0.24
O 0.5000 0.0605 0.7214  0.22
O 0.5000 0.9395 0.2786  0.22
O 0.5000 0.4528 0.7761  0.24
O 0.2534 0.3041 0.5117  0.24
O 0.7466 0.3041 0.5117  0.24
O 0.0000 0.5605 0.7786  0.22
Co 0.0000 0.2260 0.1192  2.73
Co 0.5000 0.2740 0.6192  2.73
Co 0.0000 0.7740 0.8808  2.73
Co 0.5000 0.7260 0.3808  2.73
Li 0.2465 0.5119 0.6488  0.00
Li 0.0000 0.2651 0.4070  0.01
Li 0.7465 0.9881 0.1488  0.00
Li 0.2465 0.4881 0.3512  0.00
Li 0.5000 0.7651 0.0930  0.01
Li 0.7535 0.5119 0.6488  0.00
Li 0.5000 0.2349 0.9070  0.01
Li 0.2535 0.9881 0.1488  0.00
Li 0.2535 0.0119 0.8512  0.00
Li 0.0000 0.7349 0.5930  0.01
Li 0.7535 0.4881 0.3512  0.00
Li 0.7465 0.0119 0.8512  0.00
Na 0.7451 0.5000 0.0000  0.00
Na 0.5000 0.2423 0.2508  0.00
Na 0.2451 0.0000 0.5000  0.00
Na 0.0000 0.7423 0.2492  0.00
Na 0.5000 0.7577 0.7492  0.00
Na 0.7549 0.0000 0.5000  0.00
Na 0.0000 0.2577 0.7508  0.00
Na 0.2549 0.5000 0.0000  0.00

## Properties
energy relative to the elements, uncorrected	-15.1	eV/f.u.
raw total energy	-5.25	eV per atom

***

Entry 6:
Li4Nb2Co3Sn3O16 | PBEsol | optimized geometry

Cell lengths 6.0499, 6.0577, 9.6155 Å; angles 91.76, 90.00, 119.96 degrees
Last column: magnetic moment on the atom in μB.
Element x y z (fractional)
Co 0.2064 0.8442 0.2705  2.33
Co 0.8270 0.6540 0.7881  0.32
Co 0.6378 0.8442 0.2705  2.33
O 0.8233 0.6466 0.4055  0.04
O 0.1538 0.8215 0.9028  0.00
O 0.5270 0.4824 0.6655  0.01
O 0.6677 0.8215 0.9028  0.00
O 0.5114 0.0227 0.6585  0.00
O 0.8374 0.1703 0.4164  0.02
O 0.0391 0.5134 0.1493  0.06
O 0.1589 0.3178 0.9086  0.00
O 0.9910 0.9821 0.2006  0.10
O 0.9555 0.4824 0.6655  0.01
O 0.6765 0.3531 0.8968  0.00
O 0.5103 0.0206 0.1405  0.12
O 0.3329 0.1703 0.4164  0.02
O 0.4743 0.5134 0.1493  0.06
O 0.3372 0.6745 0.3916  0.16
O 0.9831 0.9662 0.6871  0.00
Sn 0.8286 0.1614 0.7883  0.00
Sn 0.3328 0.1614 0.7883  0.00
Sn 0.1664 0.3328 0.2885  -0.02
Li 0.9838 0.9676 0.4959  0.00
Li 0.6874 0.3748 0.1007  0.00
Li 0.3335 0.6670 0.5978  0.00
Li 0.9840 0.9680 0.0148  0.00
Nb 0.6758 0.3516 0.5006  0.11
Nb 0.3503 0.7007 0.0313  -0.17

## Properties
energy relative to the elements, uncorrected	-49.1	eV/f.u.
raw total energy	-7.09	eV per atom

***

Entry 7:
SrLiNdCoO4 | PBEsol | optimized geometry

Cell lengths 3.2969, 3.7758, 7.9175 Å; angles 90.00, 90.00, 90.00 degrees
Last column: magnetic moment on the atom in μB.
Element x y z (fractional)
O 0.5000 0.5000 0.5888  0.00
O 0.5000 0.0000 0.9009  0.14
O 0.0000 0.5000 0.0761  0.10
O 0.0000 0.0000 0.3237  0.04
Nd 0.5000 0.5000 0.3051  -0.04
Co 0.0000 0.0000 0.0634  1.87
Li 0.5000 0.5000 0.9174  0.00
Sr 0.0000 0.0000 0.6580  0.00

## Properties
energy relative to the elements, uncorrected	-17.9	eV/f.u.
raw total energy	-6.95	eV per atom

***

Entry 8:
LiCoNi2 | PBEsol | optimized geometry

Cell lengths 2.4005, 4.2355, 4.3292 Å; angles 97.54, 90.00, 106.46 degrees
Last column: magnetic moment on the atom in μB.
Element x y z (fractional)
Li 0.0000 0.0000 0.5000  -0.02
Ni 0.2444 0.4887 0.2439  0.51
Ni 0.7556 0.5113 0.7561  0.51
Co 0.5000 0.0000 0.0000  1.59

## Properties
calculated formation energy	0.085	eV/atom
raw total energy	-5.42	eV per atom

***

Entry 9:
LiCo2Ni | PBEsol | optimized geometry

Cell lengths 2.5216, 4.0189, 4.7833 Å; angles 114.84, 105.28, 90.00 degrees
Last column: magnetic moment on the atom in μB.
Element x y z (fractional)
Co 0.2585 0.2585 0.5169  1.56
Co 0.7415 0.7415 0.4831  1.56
Li 0.5000 0.0000 0.0000  -0.02
Ni 0.0000 0.5000 0.0000  0.62

## Properties
calculated formation energy	0.136	eV/atom
raw total energy	-5.76	eV per atom

***

Entry 10:
LiCoNi2 | PBEsol | optimized geometry

Cell lengths 2.4261, 4.2318, 4.2318 Å; angles 108.06, 90.00, 90.00 degrees
Last column: magnetic moment on the atom in μB.
Element x y z (fractional)
Ni 0.0000 0.0000 0.5000  0.50
Ni 0.0000 0.5000 0.0000  0.50
Co 0.5000 0.0000 0.0000  1.44
Li 0.5000 0.5000 0.5000  -0.02

## Properties
calculated formation energy	0.040	eV/atom
raw total energy	-5.46	eV per atom

***

Entry 11:
LiCo2Ni | PBEsol | optimized geometry

Cell lengths 2.3982, 4.2346, 4.3400 Å; angles 97.78, 90.00, 106.45 degrees
Last column: magnetic moment on the atom in μB.
Element x y z (fractional)
Li 0.4978 0.9956 0.4878  -0.02
Ni 0.7422 0.4844 0.2577  0.51
Co 0.2573 0.5145 0.7688  1.51
Co 0.0027 0.0055 0.9856  1.57

## Properties
calculated formation energy	0.119	eV/atom
raw total energy	-5.78	eV per atom

***

Entry 12:
LiCo2Ni | PBEsol | optimized geometry

Cell lengths 2.3691, 4.6549, 4.5549 Å; angles 116.65, 97.89, 103.90 degrees
Last column: magnetic moment on the atom in μB.
Element x y z (fractional)
Co 0.5000 0.5000 0.5000  1.61
Co 0.0000 0.0000 0.5000  1.61
Li 0.0000 0.5000 0.0000  -0.03
Ni 0.5000 0.0000 0.0000  0.51

## Properties
calculated formation energy	0.130	eV/atom
raw total energy	-5.77	eV per atom